## BaMgP2O7 (PBE)

Data for a relaxed structure of BaMgP2O7.

Values from the calculation:
Size of the total moment in μB/f.u.: 0.00
Raw formation energy in eV/atom: -2.67

Structure (extended XYZ):
```
44
Lattice="8.643 0.000 0.000 0.000 5.548 0.002 0.000 5.224 12.976" Properties=species:S:1:pos:R:3 pbc="T T T"
Ba 1.088 3.993 9.109
Ba 5.410 9.392 10.357
Ba 7.556 6.780 3.869
Ba 3.234 1.381 2.621
Mg 2.874 6.445 11.394
Mg 7.196 6.939 8.072
Mg 5.769 4.327 1.584
Mg 1.448 3.833 4.906
P 1.606 6.579 6.735
P 5.927 6.805 12.731
P 7.038 4.193 6.243
P 2.716 3.967 0.247
P 8.104 6.558 10.769
P 3.782 6.826 8.697
P 0.539 4.214 2.209
P 4.861 3.946 4.281
O 7.812 7.987 10.290
O 3.490 5.398 9.176
O 0.832 2.786 2.688
O 5.153 5.374 3.802
O 1.656 5.064 6.505
O 5.977 8.320 12.961
O 6.988 5.708 6.473
O 2.666 2.452 0.017
O 0.922 6.205 10.967
O 5.244 7.179 8.499
O 7.721 4.567 2.011
O 3.399 3.593 4.479
O 1.373 7.380 5.455
O 5.695 0.780 1.035
O 7.270 3.393 7.523
O 2.948 9.992 11.943
O 5.561 3.711 5.727
O 1.239 4.449 0.763
O 3.082 7.062 7.251
O 7.404 6.323 12.215
O 5.507 2.974 3.256
O 1.185 5.187 3.235
O 3.137 7.799 9.722
O 7.458 5.586 9.744
O 3.678 4.319 1.392
O 7.999 3.841 5.098
O 4.966 6.453 11.586
O 0.644 6.931 7.880
```